{
  "formula": "NaMnIO6",
  "functional": "PBE+U",
  "state": "relaxed",
  "lattice": [[5.096, 0.000, 0.000], [-2.548, 4.414, 0.000], [0.000, 0.000, 5.277]],
  "species": ["Na", "Mn", "I", "O", "O", "O", "O", "O", "O"],
  "frac_coords": [[0.000, 0.000, 0.000], [0.667, 0.333, 0.500], [0.333, 0.667, 0.500], [0.004, 0.378, 0.297], [0.004, 0.626, 0.703], [0.374, 0.378, 0.703], [0.374, 0.996, 0.297], [0.622, 0.626, 0.297], [0.622, 0.996, 0.703]],
  "energy_ev_per_cell": -48.7,
  "dos_at_fermi_per_ev_fu": 0.000,
  "magnetic_moment_mub_per_atom": 0.333
}